Entry 1:
# NbVBH2 (GGA-PBE, relaxed)
data_NbVBH2
_space_group_name_H-M_alt 'P 4/m m m'
_space_group_IT_number 123
_space_group_name_Hall '-P 4 2'
_cell_length_a 3.471
_cell_length_b 3.471
_cell_length_c 4.542
_cell_angle_alpha 90.00
_cell_angle_beta 90.00
_cell_angle_gamma 90.00
loop_
_atom_site_label
_atom_site_type_symbol
_atom_site_fract_x
_atom_site_fract_y
_atom_site_fract_z
_atom_site_occupancy
Nb1 Nb 0.000 0.000 0.000 1
V1 V 0.500 0.500 0.000 1
B1 B 0.000 0.000 0.500 1
H1 H 0.000 0.500 0.500 1
# Electronic total energy (eV/atom): -5.317

=====

Entry 2:
# Nb2BHW (GGA-PBE, relaxed)
data_Nb2BHW
_space_group_name_H-M_alt 'P 4/m m m'
_space_group_IT_number 123
_space_group_name_Hall '-P 4 2'
_cell_length_a 4.583
_cell_length_b 4.583
_cell_length_c 3.185
_cell_angle_alpha 90.00
_cell_angle_beta 90.00
_cell_angle_gamma 90.00
loop_
_atom_site_label
_atom_site_type_symbol
_atom_site_fract_x
_atom_site_fract_y
_atom_site_fract_z
_atom_site_occupancy
Nb1 Nb 0.000 0.500 0.000 1
B1 B 0.000 0.000 0.000 1
H1 H 0.000 0.000 0.500 1
W1 W 0.500 0.500 0.500 1
# Electronic total energy (eV/atom): -8.069

=====

Entry 3:
# YNbBH2 (GGA-PBE, relaxed)
data_YNbBH2
_space_group_name_H-M_alt 'P 4/m m m'
_space_group_IT_number 123
_space_group_name_Hall '-P 4 2'
_cell_length_a 3.622
_cell_length_b 3.622
_cell_length_c 6.361
_cell_angle_alpha 90.00
_cell_angle_beta 90.00
_cell_angle_gamma 90.00
loop_
_atom_site_label
_atom_site_type_symbol
_atom_site_fract_x
_atom_site_fract_y
_atom_site_fract_z
_atom_site_occupancy
Y1 Y 0.000 0.000 0.000 1
Nb1 Nb 0.000 0.000 0.500 1
B1 B 0.500 0.500 0.500 1
H1 H 0.000 0.500 0.000 1
# Electronic total energy (eV/atom): -5.175

=====

Entry 4:
# ZrNbB2H (GGA-PBE, relaxed)
data_ZrNbB2H
_space_group_name_H-M_alt 'P 4/m m m'
_space_group_IT_number 123
_space_group_name_Hall '-P 4 2'
_cell_length_a 4.319
_cell_length_b 4.319
_cell_length_c 3.440
_cell_angle_alpha 90.00
_cell_angle_beta 90.00
_cell_angle_gamma 90.00
loop_
_atom_site_label
_atom_site_type_symbol
_atom_site_fract_x
_atom_site_fract_y
_atom_site_fract_z
_atom_site_occupancy
Zr1 Zr 0.000 0.000 0.000 1
Nb1 Nb 0.500 0.500 0.500 1
B1 B 0.000 0.500 0.000 1
H1 H 0.000 0.000 0.500 1
# Electronic total energy (eV/atom): -6.312

=====

Entry 5:
# NdBH (GGA-PBE, relaxed)
data_NdBH
_space_group_name_H-M_alt 'P 1 21/m 1'
_space_group_IT_number 11
_cell_length_a 3.654
_cell_length_b 3.198
_cell_length_c 7.252
_cell_angle_alpha 90.00
_cell_angle_beta 104.51
_cell_angle_gamma 90.00
loop_
_space_group_symop_operation_xyz
'x,y,z'
'-x,-y,-z'
'-x,y+1/2,-z'
'x,-y+1/2,z'
loop_
_atom_site_label
_atom_site_type_symbol
_atom_site_fract_x
_atom_site_fract_y
_atom_site_fract_z
_atom_site_occupancy
Nd1 Nd 0.131 0.250 0.261 1
B1 B 0.489 0.250 0.977 1
H1 H 0.305 0.250 0.606 1
# Energy relative to the lowest polymorph listed for this composition (eV per formula unit): 0.00

=====

Entry 6:
# NdB2H8 (GGA-PBE, relaxed)
data_NdB2H8
_space_group_name_H-M_alt 'C 1 2/m 1'
_space_group_IT_number 12
_cell_length_a 7.268
_cell_length_b 4.220
_cell_length_c 6.481
_cell_angle_alpha 90.00
_cell_angle_beta 112.57
_cell_angle_gamma 90.00
loop_
_space_group_symop_operation_xyz
'x,y,z'
'-x,-y,-z'
'-x,y,-z'
'x,-y,z'
'x+1/2,y+1/2,z'
'-x+1/2,-y+1/2,-z'
'-x+1/2,y+1/2,-z'
'x+1/2,-y+1/2,z'
loop_
_atom_site_label
_atom_site_type_symbol
_atom_site_fract_x
_atom_site_fract_y
_atom_site_fract_z
_atom_site_occupancy
Nd1 Nd 0.000 0.000 0.000 1
B1 B 0.238 0.000 0.716 1
H1 H 0.076 0.500 0.211 1
H2 H 0.171 0.000 0.514 1
H3 H 0.179 0.241 0.784 1
# Electronic total energy (eV/atom): -4.339

=====

Entry 7:
# NdBH (GGA-PBE, relaxed)
data_NdBH
_space_group_name_H-M_alt 'P 1 21/c 1'
_space_group_IT_number 14
_cell_length_a 5.055
_cell_length_b 7.095
_cell_length_c 6.731
_cell_angle_alpha 90.00
_cell_angle_beta 131.54
_cell_angle_gamma 90.00
loop_
_space_group_symop_operation_xyz
'x,y,z'
'-x,-y,-z'
'-x,y+1/2,-z+1/2'
'x,-y+1/2,z+1/2'
loop_
_atom_site_label
_atom_site_type_symbol
_atom_site_fract_x
_atom_site_fract_y
_atom_site_fract_z
_atom_site_occupancy
Nd1 Nd 0.148 0.242 0.101 1
B1 B 0.332 0.569 0.379 1
H1 H 0.318 0.562 0.181 1
# Energy relative to the lowest polymorph listed for this composition (eV per formula unit): 0.44

=====

Entry 8:
# NdB2H7 (GGA-PBE, relaxed)
data_NdB2H7
_space_group_name_H-M_alt 'C m m m'
_space_group_IT_number 65
_space_group_name_Hall '-C 2 2'
_cell_length_a 5.724
_cell_length_b 8.269
_cell_length_c 3.169
_cell_angle_alpha 90.00
_cell_angle_beta 90.00
_cell_angle_gamma 90.00
loop_
_atom_site_label
_atom_site_type_symbol
_atom_site_fract_x
_atom_site_fract_y
_atom_site_fract_z
_atom_site_occupancy
Nd1 Nd 0.000 0.000 0.000 1
B1 B 0.000 0.336 0.500 1
H1 H 0.000 0.300 0.000 1
H2 H 0.000 0.500 0.500 1
H3 H 0.225 0.359 0.500 1
# Electronic total energy (eV/atom): -3.853